{"formula": "SrPrMg", "functional": "PBE", "state": "optimized geometry", "de_polymorph_ev_per_atom": 0.118, "formation_energy_ev_per_atom": 0.13, "magmom_total_mub_per_cell": 0.0, "cell": [[3.623, 0.000, 0.000], [0.000, 5.839, 0.000], [0.000, -2.919, 5.056]], "species": ["Mg", "Pr", "Sr"], "fractional_positions": [[0.662, 0.667, 0.333], [0.971, 0.000, 0.000], [0.367, 0.333, 0.667]]}